Entry from the Alexandria database: K4LaMg after structural relaxation (GGA-PBE).

Calculated volume   51.26 Å³ per atom
Crystal system   cubic
DFT total energy   -1.30 eV/atom
Formation energy   522 meV per atom

Unit cell a=7.577 b=7.577 c=7.577 alpha=60.00 beta=60.00 gamma=60.00
Site moments in Bohr magnetons follow the coordinates.
Positions (direct):
K: 0.877 0.374 0.374  0.00
K: 0.374 0.374 0.877  0.00
K: 0.374 0.877 0.374  0.00
K: 0.374 0.374 0.374  0.00
La: 0.750 0.750 0.750  0.35
Mg: 0.000 0.000 0.000  0.00